Computed, not measured: an optimized crystal structure of Fe4Ir3 at the GGA-PBE level of DFT.

Values from the calculation:
For the density of states at the Fermi level, the calculation gives 1.19 states/eV per atom. As for the symmetry: P6/mmm. The calculation puts the energy above the most stable polymorph in this dataset at 255 meV per atom. For the total magnetization, the calculation gives 11.227 μB per cell. Its formation energy from the elements is 0.2673 eV/atom.

abc: 5.081 5.081 4.494
angles: 90.00 90.00 120.00
Element x y z (fractional)
Fe (0.000, 0.000, 0.249)
Fe (0.000, 0.000, 0.751)
Fe (0.333, 0.667, 0.000)
Fe (0.667, 0.333, 0.000)
Ir (0.000, 0.500, 0.500)
Ir (0.500, 0.000, 0.500)
Ir (0.500, 0.500, 0.500)

Computed, not measured: an optimized crystal structure of Fe5Ir4 at the GGA-PBE level of DFT.

Values from the calculation:
For the density of states at the Fermi level, the calculation gives 1.36 states/eV per atom. As for the symmetry: I4/mmm. The calculation puts the energy above the most stable polymorph in this dataset at 0 meV per atom. For the total magnetization, the calculation gives 12.187 μB per cell. Its formation energy from the elements is -0.0071 eV/atom.

abc: 5.928 5.928 5.928
angles: 95.69 95.69 143.29
Element x y z (fractional)
Fe (0.000, 0.000, 0.000)
Fe (0.000, 0.332, 0.332)
Fe (0.000, 0.668, 0.668)
Fe (0.332, 0.000, 0.332)
Fe (0.668, 0.000, 0.668)
Ir (0.334, 0.334, 0.668)
Ir (0.334, 0.666, 0.000)
Ir (0.666, 0.334, 0.000)
Ir (0.666, 0.666, 0.332)

Computed, not measured: an optimized crystal structure of FeIr at the GGA-PBE level of DFT.

Values from the calculation:
For the density of states at the Fermi level, the calculation gives 0.99 states/eV per atom. As for the symmetry: P6_3mc. For the total magnetization, the calculation gives 0.000 μB per cell. Its formation energy from the elements is 1.0170 eV/atom.

abc: 3.682 3.682 6.116
angles: 90.00 90.00 120.00
Element x y z (fractional)
Fe (0.333, 0.667, 0.000)
Fe (0.667, 0.333, 0.500)
Ir (0.333, 0.667, 0.373)
Ir (0.667, 0.333, 0.873)

Computed, not measured: an optimized crystal structure of FeIr at the GGA-PBE level of DFT.

Values from the calculation:
For the density of states at the Fermi level, the calculation gives 1.10 states/eV per atom. As for the symmetry: P4/nmm. For the total magnetization, the calculation gives 5.040 μB per cell. Its formation energy from the elements is 0.0163 eV/atom.

abc: 2.740 2.740 7.053
angles: 90.00 90.00 90.00
Element x y z (fractional)
Fe (0.250, 0.250, 0.114)
Fe (0.750, 0.750, 0.886)
Ir (0.250, 0.250, 0.638)
Ir (0.750, 0.750, 0.362)

Computed, not measured: an optimized crystal structure of Fe3Ir4 at the GGA-PBE level of DFT.

Values from the calculation:
For the density of states at the Fermi level, the calculation gives 1.24 states/eV per atom. As for the symmetry: P6/mmm. The calculation puts the energy above the most stable polymorph in this dataset at 154 meV per atom. For the total magnetization, the calculation gives 6.003 μB per cell. Its formation energy from the elements is 0.1486 eV/atom.

abc: 4.633 4.633 5.017
angles: 90.00 90.00 120.00
Element x y z (fractional)
Fe (0.000, 0.500, 0.000)
Fe (0.500, 0.000, 0.000)
Fe (0.500, 0.500, 0.000)
Ir (0.000, 0.000, 0.254)
Ir (0.000, 0.000, 0.746)
Ir (0.333, 0.667, 0.500)
Ir (0.667, 0.333, 0.500)

Computed, not measured: an optimized crystal structure of FeIr4 at the GGA-PBE level of DFT.

Values from the calculation:
For the density of states at the Fermi level, the calculation gives 1.38 states/eV per atom. As for the symmetry: Im-3m. The calculation puts the energy above the most stable polymorph in this dataset at 948 meV per atom. For the total magnetization, the calculation gives 4.731 μB per cell. Its formation energy from the elements is 0.9076 eV/atom.

abc: 5.500 5.500 5.500
angles: 90.00 90.00 90.00
Element x y z (fractional)
Fe (0.000, 0.000, 0.000)
Fe (0.500, 0.500, 0.500)
Ir (0.250, 0.250, 0.250)
Ir (0.250, 0.250, 0.750)
Ir (0.250, 0.750, 0.250)
Ir (0.250, 0.750, 0.750)
Ir (0.750, 0.250, 0.250)
Ir (0.750, 0.250, 0.750)
Ir (0.750, 0.750, 0.250)
Ir (0.750, 0.750, 0.750)